(1)
Entry from the Open Quantum Materials Database: a relaxed structure of KPaAgSe3 (PBE-GGA).

Its size of the total moment is 4.0 μB/cell. The calculated total energy comes out at -5.097 eV/atom.

```
data_KPaAgSe3
_cell_length_a 4.248
_cell_length_b 14.834
_cell_length_c 10.931
_cell_angle_alpha 90.00
_cell_angle_beta 90.00
_cell_angle_gamma 90.00
_space_group_name_H-M_alt 'C m c m'
_space_group_IT_number 63
_space_group_name_Hall '-C 2c 2'
loop_
_atom_site_label
_atom_site_type_symbol
_atom_site_fract_x
_atom_site_fract_y
_atom_site_fract_z
K1 K 0.000 0.244 0.250
Pa1 Pa 0.000 0.500 0.000
Ag1 Ag 0.000 0.045 0.750
Se1 Se 0.000 0.129 0.540
Se2 Se 0.000 0.434 0.750
```

(2)
Entry from the Open Quantum Materials Database: a relaxed structure of RbScNiS3 (PBE-GGA).

Its size of the total moment is 2.5 μB/cell. The calculated total energy comes out at -5.452 eV/atom.

```
data_RbScNiS3
_cell_length_a 8.812
_cell_length_b 3.777
_cell_length_c 9.257
_cell_angle_alpha 90.00
_cell_angle_beta 111.65
_cell_angle_gamma 90.00
_space_group_name_H-M_alt 'P 1 21/m 1'
_space_group_IT_number 11
loop_
_space_group_symop_operation_xyz
'x,y,z'
'-x,-y,-z'
'-x,y+1/2,-z'
'x,-y+1/2,z'
loop_
_atom_site_label
_atom_site_type_symbol
_atom_site_fract_x
_atom_site_fract_y
_atom_site_fract_z
Rb1 Rb 0.209 0.250 0.240
Sc1 Sc 0.333 0.750 0.864
Ni1 Ni 0.079 0.250 0.601
S1 S 0.130 0.250 0.859
S2 S 0.185 0.750 0.548
S3 S 0.474 0.750 0.158
```

(3)
Entry from the Open Quantum Materials Database: a relaxed structure of ZrBeSiOs (PBE-GGA).

Its size of the total moment is 0.0 μB/cell. The polymorph energy (0 for the lowest one) is 234.4 meV per atom.

```
data_ZrBeSiOs
_cell_length_a 6.167
_cell_length_b 6.167
_cell_length_c 6.167
_cell_angle_alpha 90.00
_cell_angle_beta 90.00
_cell_angle_gamma 90.00
_space_group_name_H-M_alt 'F -4 3 m'
_space_group_IT_number 216
_space_group_name_Hall 'F -4 2 3'
loop_
_atom_site_label
_atom_site_type_symbol
_atom_site_fract_x
_atom_site_fract_y
_atom_site_fract_z
Zr1 Zr 0.000 0.000 0.000
Be1 Be 0.000 0.000 0.500
Si1 Si 0.250 0.250 0.750
Os1 Os 0.250 0.250 0.250
```

(4)
Entry from the Open Quantum Materials Database: a relaxed structure of RbLiHfSe3 (PBE-GGA).

Its size of the total moment is 0.0 μB/cell. The polymorph energy (0 for the lowest one) is 0.0 meV per atom.

```
data_RbLiHfSe3
_cell_length_a 15.408
_cell_length_b 3.980
_cell_length_c 10.680
_cell_angle_alpha 90.00
_cell_angle_beta 90.00
_cell_angle_gamma 90.00
_space_group_name_H-M_alt 'P n m a'
_space_group_IT_number 62
loop_
_space_group_symop_operation_xyz
'x,y,z'
'-x,-y,-z'
'-x+1/2,-y,z+1/2'
'x+1/2,y,-z+1/2'
'x+1/2,-y+1/2,-z+1/2'
'-x+1/2,y+1/2,z+1/2'
'-x,y+1/2,-z'
'x,-y+1/2,z'
loop_
_atom_site_label
_atom_site_type_symbol
_atom_site_fract_x
_atom_site_fract_y
_atom_site_fract_z
Rb1 Rb 0.230 0.250 0.030
Li1 Li 0.014 0.750 0.091
Hf1 Hf 0.012 0.250 0.334
Se1 Se 0.080 0.750 0.869
Se2 Se 0.089 0.250 0.568
Se3 Se 0.122 0.750 0.267
```

(5)
Entry from the Open Quantum Materials Database: a relaxed structure of NdRePb (PBE-GGA).

Its size of the total moment is 0.6 μB/cell. The calculated total energy comes out at -6.045 eV/atom.

```
data_NdRePb
_cell_length_a 6.860
_cell_length_b 6.860
_cell_length_c 6.860
_cell_angle_alpha 90.00
_cell_angle_beta 90.00
_cell_angle_gamma 90.00
_space_group_name_H-M_alt 'F -4 3 m'
_space_group_IT_number 216
_space_group_name_Hall 'F -4 2 3'
loop_
_atom_site_label
_atom_site_type_symbol
_atom_site_fract_x
_atom_site_fract_y
_atom_site_fract_z
Nd1 Nd 0.000 0.000 0.000
Re1 Re 0.000 0.000 0.500
Pb1 Pb 0.250 0.250 0.250
```

(6)
Entry from the Open Quantum Materials Database: a relaxed structure of InMo2N (PBE-GGA).

Its size of the total moment is 0.0 μB/cell. The calculated total energy comes out at -8.187 eV/atom.

```
data_InMo2N
_cell_length_a 3.2117
_cell_length_b 3.2117
_cell_length_c 13.4364
_cell_angle_alpha 90.00
_cell_angle_beta 90.00
_cell_angle_gamma 120.00
_space_group_name_H-M_alt 'P 63/m m c'
_space_group_IT_number 194
_space_group_name_Hall '-P 6c 2c'
loop_
_atom_site_label
_atom_site_type_symbol
_atom_site_fract_x
_atom_site_fract_y
_atom_site_fract_z
In1 In 0.3333 0.6667 0.2500
Mo1 Mo 0.3333 0.6667 0.5759
N1 N 0.0000 0.0000 0.0000
```